# LaTa2Cd

A geometry-optimized LaTa2Cd structure (PBE, the Alexandria database).

Crystal system = orthorhombic
ΔH_f (0 K) = 0.51 eV per atom
Mass density = 11.33 g/cm³

a b c (Å): 6.210 6.210 6.210
angles (deg): 151.09 128.49 60.14
Sites, in units of the cell vectors:
Ta (0.511, 0.511, 0.000)
Ta (0.989, 0.989, 0.000)
Cd (0.750, 0.250, 0.500)
La (0.250, 0.750, 0.500)